Material: MoIN2F
Method: DFT, GGA+U
State: relaxed

Output
SG	No. 123
relative energy among the computed polymorphs	1478	meV/atom

Unit cell a=4.6142 b=4.6142 c=4.2138 alpha=90.00 beta=90.00 gamma=90.00
Site moments in Bohr magnetons follow the coordinates.
Atoms (fractional coordinates):
I 0.0000 0.0000 0.5000  0.12
Mo 0.5000 0.5000 0.5000  -3.82
N 0.0000 0.5000 0.0000  1.48
N 0.5000 0.0000 0.0000  1.48
F 0.0000 0.0000 0.0000  0.14